[1]
Entry from the Alexandria database: an optimized crystal structure of MnCuPbBr2 (PBE).

Lattice parameters (Å, degrees): 4.986 4.986 5.262 90.00 90.00 90.00
Space group P4/mmm (No. 123)
Asymmetric unit:
Mn 0.000 0.000 0.000 [1 per cell]
Cu 0.000 0.000 0.500 [1 per cell]
Pb 0.500 0.500 0.000 [1 per cell]
Br 0.000 0.500 0.500 [2 per cell]

Summary:
Uncorrected energy in eV per atom: -3.75
Crystal system: tetragonal
Formation energy (no corrections) in eV per atom: 0.31


[2]
Entry from the Alexandria database: an optimized crystal structure of RbMnCu2Br6 (PBE).

Lattice parameters (Å, degrees): 14.714 12.684 8.319 90.00 116.57 90.00
Space group C2/c (No. 15)
Asymmetric unit:
Rb 0.000 0.178 0.250 [4 per cell]
Mn 0.000 0.185 0.750 [4 per cell]
Cu 0.196 0.450 0.169 [8 per cell]
Br 0.113 0.066 0.680 [8 per cell]
Br 0.121 0.274 0.022 [8 per cell]
Br 0.155 0.433 0.418 [8 per cell]

Summary:
Uncorrected energy in eV per atom: -3.55
Crystal system: monoclinic
Formation energy (no corrections) in eV per atom: -0.71


[3]
Entry from the Alexandria database: an optimized crystal structure of Rb2MnCuBr6 (PBE).

Lattice parameters (Å, degrees): 7.659 7.659 10.558 90.00 90.00 90.00
Space group I4/mmm (No. 139)
Asymmetric unit:
Rb 0.000 0.500 0.250 [4 per cell]
Mn 0.000 0.000 0.000 [2 per cell]
Cu 0.000 0.000 0.500 [2 per cell]
Br 0.000 0.000 0.277 [4 per cell]
Br 0.230 0.230 0.000 [8 per cell]

Summary:
Uncorrected energy in eV per atom: -3.56
Crystal system: tetragonal
Formation energy (no corrections) in eV per atom: -1.04


[4]
Entry from the Alexandria database: an optimized crystal structure of Rb2MnCuBr6 (PBE).

Lattice parameters (Å, degrees): 7.730 10.472 7.815 90.00 90.00 90.00
Space group Pmmn (No. 59, origin choice 2)
Asymmetric unit:
Rb 0.250 0.002 0.238 [4 per cell]
Mn 0.250 0.250 0.743 [2 per cell]
Cu 0.250 0.750 0.696 [2 per cell]
Br 0.022 0.250 0.964 [4 per cell]
Br 0.024 0.250 0.513 [4 per cell]
Br 0.250 0.529 0.752 [4 per cell]

Summary:
Uncorrected energy in eV per atom: -3.56
Crystal system: orthorhombic
Formation energy (no corrections) in eV per atom: -1.04


[5]
Entry from the Alexandria database: an optimized crystal structure of RbMn3Cu4Br12 (PBE).

Lattice parameters (Å, degrees): 14.2721 14.2721 10.2305 90.00 90.00 120.00
Space group R32 (No. 155, hexagonal axes)
Asymmetric unit:
Rb 0.0000 0.0000 0.0000 [3 per cell]
Mn 0.0000 0.5712 0.0000 [9 per cell]
Cu 0.0000 0.0000 0.5000 [3 per cell]
Cu 0.0000 0.4153 0.5000 [9 per cell]
Br 0.0000 0.5883 0.5000 [9 per cell]
Br 0.0000 0.8334 0.5000 [9 per cell]
Br 0.0600 0.2184 0.1983 [18 per cell]

Summary:
Uncorrected energy in eV per atom: -3.86
Crystal system: trigonal
Formation energy (no corrections) in eV per atom: -0.62


[6]
Entry from the Alexandria database: an optimized crystal structure of Rb2MnCuBr5 (PBE).

Lattice parameters (Å, degrees): 4.222 20.174 13.901 90.00 90.00 90.00
Space group Cmc2_1 (No. 36)
Asymmetric unit:
Rb 0.000 0.121 0.000 [4 per cell]
Rb 0.000 0.126 0.618 [4 per cell]
Mn 0.000 0.207 0.322 [4 per cell]
Cu 0.000 0.432 0.737 [4 per cell]
Br 0.000 0.074 0.331 [4 per cell]
Br 0.000 0.292 0.951 [4 per cell]
Br 0.000 0.303 0.686 [4 per cell]
Br 0.000 0.335 0.311 [4 per cell]
Br 0.000 0.495 0.592 [4 per cell]

Summary:
Uncorrected energy in eV per atom: -3.71
Crystal system: orthorhombic
Formation energy (no corrections) in eV per atom: -1.09


[7]
Entry from the Alexandria database: an optimized crystal structure of RbMnCu2Br8 (PBE).

Lattice parameters (Å, degrees): 6.5357 6.5357 30.9091 90.00 90.00 120.00
Space group R32 (No. 155, hexagonal axes)
Asymmetric unit:
Rb 0.0000 0.0000 0.0000 [3 per cell]
Mn 0.0000 0.0000 0.5000 [3 per cell]
Cu 0.0000 0.0000 0.2406 [6 per cell]
Br 0.0000 0.0000 0.3169 [6 per cell]
Br 0.0097 0.3083 0.5547 [18 per cell]

Summary:
Uncorrected energy in eV per atom: -3.19
Crystal system: trigonal
Formation energy (no corrections) in eV per atom: -0.55


[8]
Entry from the Alexandria database: an optimized crystal structure of Rb3MnCu2Br8 (PBE).

Lattice parameters (Å, degrees): 7.5000 7.5000 9.6744 90.00 90.00 120.00
Space group P-3m1 (No. 164)
Asymmetric unit:
Rb 0.0000 0.0000 0.0000 [1 per cell]
Rb 0.3333 0.6667 0.6349 [2 per cell]
Mn 0.0000 0.0000 0.5000 [1 per cell]
Cu 0.3333 0.6667 0.2193 [2 per cell]
Br 0.1619 0.3238 0.3356 [6 per cell]
Br 0.3333 0.6667 0.9802 [2 per cell]

Summary:
Uncorrected energy in eV per atom: -3.42
Crystal system: trigonal
Formation energy (no corrections) in eV per atom: -1.02